DFT (PBE with a Hubbard U) results for a relaxed structure of RbBaFeF6.

Cell and atoms, written as POSCAR:
```
RbBaFeF6
1.0
6.187 0.000 0.000
-3.094 5.358 0.000
0.000 0.000 5.261
Rb Ba Fe F
1 1 1 6
Direct
0.000 0.000 0.000 Rb
0.667 0.333 0.500 Ba
0.333 0.667 0.000 Fe
0.059 0.422 0.216 F
0.059 0.637 0.784 F
0.363 0.422 0.784 F
0.363 0.941 0.216 F
0.578 0.637 0.216 F
0.578 0.941 0.784 F
```

Properties
The crystal system is trigonal. As for the calculated total energy: -0.1909 Ha/atom.